# TaTi3Os | Alexandria | PBE | relaxed
# * magnetic moment: 0.00 μB/f.u.
# * crystal system: monoclinic
# * energy above the lowest structure with this stoichiometry: 0.000 eV/atom
# * DOS at the Fermi energy: 6.007 states/eV/f.u.
# * calculated volume: 16.36 Å³/atom
data_TaTi3Os
_symmetry_space_group_name_H-M 'C 1 2/m 1'
_symmetry_Int_Tables_number 12
_cell_length_a 16.113
_cell_length_b 3.090
_cell_length_c 6.730
_cell_angle_alpha 90.00
_cell_angle_beta 102.49
_cell_angle_gamma 90.00
loop_
_symmetry_equiv_pos_as_xyz
'x,y,z'
'-x,-y,-z'
'-x,y,-z'
'x,-y,z'
'x+1/2,y+1/2,z'
'-x+1/2,-y+1/2,-z'
'-x+1/2,y+1/2,-z'
'x+1/2,-y+1/2,z'
loop_
_atom_site_label
_atom_site_fract_x
_atom_site_fract_y
_atom_site_fract_z
_atom_site_occupancy
Ta1 0.100 0.000 0.049 1
Ti1 0.000 0.500 0.272 1
Ti2 0.192 0.500 0.371 1
Ti3 0.199 0.500 0.833 1
Os1 0.100 0.000 0.554 1

---

# La4GeTe2Cl | Alexandria | PBE | relaxed
# * magnetic moment: 0.00 μB/f.u.
# * formation energy (no corrections): -1.47 eV/atom
# * crystal system: monoclinic
# * DOS at the Fermi energy: 5.162 states/eV/f.u.
# * calculated volume: 31.28 Å³/atom
data_La4GeTe2Cl
_symmetry_space_group_name_H-M 'P 1 2/m 1'
_symmetry_Int_Tables_number 10
_cell_length_a 7.595
_cell_length_b 4.444
_cell_length_c 7.851
_cell_angle_alpha 90.00
_cell_angle_beta 109.17
_cell_angle_gamma 90.00
loop_
_symmetry_equiv_pos_as_xyz
'x,y,z'
'-x,-y,-z'
'-x,y,-z'
'x,-y,z'
loop_
_atom_site_label
_atom_site_fract_x
_atom_site_fract_y
_atom_site_fract_z
_atom_site_occupancy
La1 0.236 0.000 0.225 1
La2 0.249 0.500 0.772 1
Ge1 0.000 0.500 0.000 1
Te1 0.000 0.000 0.500 1
Te2 0.500 0.500 0.500 1
Cl1 0.500 0.000 0.000 1

---

# Mo2PbBr | Alexandria | PBE | relaxed
# * magnetic moment: 0.00 μB/f.u.
# * formation energy (no corrections): 0.74 eV/atom
# * crystal system: monoclinic
# * energy above the lowest structure with this stoichiometry: 0.532 eV/atom
# * DOS at the Fermi energy: 2.190 states/eV/f.u.
# * calculated volume: 24.86 Å³/atom
data_Mo2PbBr
_symmetry_space_group_name_H-M 'P 1 2/m 1'
_symmetry_Int_Tables_number 10
_cell_length_a 3.786
_cell_length_b 4.695
_cell_length_c 5.593
_cell_angle_alpha 90.00
_cell_angle_beta 90.12
_cell_angle_gamma 90.00
loop_
_symmetry_equiv_pos_as_xyz
'x,y,z'
'-x,-y,-z'
'-x,y,-z'
'x,-y,z'
loop_
_atom_site_label
_atom_site_fract_x
_atom_site_fract_y
_atom_site_fract_z
_atom_site_occupancy
Mo1 0.187 0.000 0.153 1
Pb1 0.500 0.500 0.000 1
Br1 0.000 0.500 0.500 1

---

# TaSi2Se | Alexandria | PBE | relaxed
# * magnetic moment: 0.00 μB/f.u.
# * formation energy (no corrections): 0.19 eV/atom
# * crystal system: trigonal
# * DOS at the Fermi energy: 2.063 states/eV/f.u.
# * calculated volume: 16.77 Å³/atom
data_TaSi2Se
_symmetry_space_group_name_H-M 'R -3 m'
_symmetry_Int_Tables_number 166
_symmetry_space_group_name_Hall '-R 3 2"'
_cell_length_a 3.2104
_cell_length_b 3.2104
_cell_length_c 22.5526
_cell_angle_alpha 90.00
_cell_angle_beta 90.00
_cell_angle_gamma 120.00
loop_
_atom_site_label
_atom_site_fract_x
_atom_site_fract_y
_atom_site_fract_z
_atom_site_occupancy
Ta1 0.0000 0.0000 0.0000 1
Si1 0.0000 0.0000 0.2479 1
Se1 0.0000 0.0000 0.5000 1

---

# BeSeCl | Alexandria | PBE | relaxed
# * magnetic moment: 0.00 μB/f.u.
# * formation energy (no corrections): 0.00 eV/atom
# * crystal system: tetragonal
# * energy above the lowest structure with this stoichiometry: 0.565 eV/atom
# * DOS at the Fermi energy: 0.391 states/eV/f.u.
# * calculated volume: 20.56 Å³/atom
data_BeSeCl
_symmetry_space_group_name_H-M 'I 4 m m'
_symmetry_Int_Tables_number 107
_symmetry_space_group_name_Hall 'I 4 -2'
_cell_length_a 2.952
_cell_length_b 2.952
_cell_length_c 14.160
_cell_angle_alpha 90.00
_cell_angle_beta 90.00
_cell_angle_gamma 90.00
loop_
_atom_site_label
_atom_site_fract_x
_atom_site_fract_y
_atom_site_fract_z
_atom_site_occupancy
Be1 0.000 0.000 0.000 1
Se1 0.000 0.000 0.622 1
Cl1 0.000 0.000 0.404 1

---

# Be2PtRh2 | Alexandria | PBE | relaxed
# * magnetic moment: 0.00 μB/f.u.
# * crystal system: tetragonal
# * energy above the lowest structure with this stoichiometry: 0.265 eV/atom
# * DOS at the Fermi energy: 4.865 states/eV/f.u.
# * calculated volume: 12.50 Å³/atom
data_Be2PtRh2
_symmetry_space_group_name_H-M 'P 4/m b m'
_symmetry_Int_Tables_number 127
_symmetry_space_group_name_Hall '-P 4 2ab'
_cell_length_a 6.763
_cell_length_b 6.763
_cell_length_c 2.734
_cell_angle_alpha 90.00
_cell_angle_beta 90.00
_cell_angle_gamma 90.00
loop_
_atom_site_label
_atom_site_fract_x
_atom_site_fract_y
_atom_site_fract_z
_atom_site_occupancy
Be1 0.164 0.336 0.000 1
Pt1 0.000 0.000 0.500 1
Rh1 0.136 0.636 0.500 1

---

# Li3AlAu | Alexandria | PBE | relaxed
# * magnetic moment: 0.00 μB/f.u.
# * crystal system: monoclinic
# * energy above the lowest structure with this stoichiometry: 0.000 eV/atom
# * DOS at the Fermi energy: 1.437 states/eV/f.u.
# * calculated volume: 16.03 Å³/atom
data_Li3AlAu
_symmetry_space_group_name_H-M 'P 1 21/m 1'
_symmetry_Int_Tables_number 11
_cell_length_a 5.895
_cell_length_b 4.267
_cell_length_c 6.386
_cell_angle_alpha 90.00
_cell_angle_beta 93.75
_cell_angle_gamma 90.00
loop_
_symmetry_equiv_pos_as_xyz
'x,y,z'
'-x,-y,-z'
'-x,y+1/2,-z'
'x,-y+1/2,z'
loop_
_atom_site_label
_atom_site_fract_x
_atom_site_fract_y
_atom_site_fract_z
_atom_site_occupancy
Li1 0.045 0.250 0.354 1
Li2 0.267 0.250 0.741 1
Li3 0.445 0.250 0.175 1
Al1 0.135 0.750 0.056 1
Au1 0.334 0.750 0.429 1

---

# Lu5Cu | Alexandria | PBE | relaxed
# * energy: -0.1599 hartree per atom
# * magnetic moment: 0.00 μB/f.u.
# * crystal system: orthorhombic
# * DOS at the Fermi energy: 8.713 states/eV/f.u.
# * calculated volume: 25.90 Å³/atom
data_Lu5Cu
_symmetry_space_group_name_H-M 'C m m m'
_symmetry_Int_Tables_number 65
_symmetry_space_group_name_Hall '-C 2 2'
_cell_length_a 4.538
_cell_length_b 14.399
_cell_length_c 4.755
_cell_angle_alpha 90.00
_cell_angle_beta 90.00
_cell_angle_gamma 90.00
loop_
_atom_site_label
_atom_site_fract_x
_atom_site_fract_y
_atom_site_fract_z
_atom_site_occupancy
Lu1 0.000 0.000 0.000 1
Lu2 0.000 0.158 0.500 1
Lu3 0.000 0.332 0.000 1
Cu1 0.000 0.500 0.500 1

---

Q: calculated volume of number 1 (TaTi3Os)?
A: 16.36 Å³/atom